NbWO6 (PBE+U, optimized geometry); raw total energy = -62.97 eV/cell; crystal system = trigonal
1.0
-5.271 -0.897 -1.480
-1.172 -1.875 -5.088
-1.844 -5.188 -0.688
Nb W O
1 1 6
direct
0.500 0.500 0.500 Nb
0.000 0.000 0.000 W
0.248 0.245 0.754 O
0.754 0.248 0.754 O
0.755 0.246 0.246 O
0.246 0.752 0.246 O
0.752 0.755 0.246 O
0.245 0.754 0.754 O